# Mn2HRu, relaxed, DFT PBE
data_Mn2HRu
_space_group_name_H-M_alt 'I -4 2 d'
_space_group_IT_number 122
_space_group_name_Hall 'I -4 2bw'
_cell_length_a 5.963
_cell_length_b 5.963
_cell_length_c 4.414
_cell_angle_alpha 90.00
_cell_angle_beta 90.00
_cell_angle_gamma 90.00
loop_
_atom_site_label
_atom_site_type_symbol
_atom_site_fract_x
_atom_site_fract_y
_atom_site_fract_z
Mn1 Mn 0.144 0.250 0.125
H1 H 0.000 0.000 0.000
Ru1 Ru 0.000 0.000 0.500
# Energy relative to the lowest polymorph listed for this composition   6.44 kcal/mol of atoms
# N(E_F)   2.3 states/eV/f.u.
# E   -7.471 eV/atom